P | First-principles (GGA-PBEsol) data for a relaxed structure of Li2YHg, as listed in Alexandria via LeMat-Bulk.

CIF file:
```
data_Li2YHg
_chemical_formula_sum 'Li2 Y1 Hg1'
_cell_length_a 3.5355
_cell_length_b 4.9070
_cell_length_c 5.1651
_cell_angle_alpha 90.00
_cell_angle_beta 90.00
_cell_angle_gamma 90.00
_symmetry_space_group_name_H-M 'P 1'
_symmetry_Int_Tables_number 1
loop_
_symmetry_equiv_pos_as_xyz
'x,y,z'
loop_
_atom_site_label
_atom_site_type_symbol
_atom_site_fract_x
_atom_site_fract_y
_atom_site_fract_z
Li1 Li 0.0000 0.0000 0.0000
Li2 Li 0.5000 0.5000 0.0000
Y1 Y 0.0000 0.5000 0.5000
Hg1 Hg 0.5000 0.0000 0.5000
```

## Properties
M_tot = 0.000 μB per atom
space group = Pmmm, No. 47

---

Q | First-principles (GGA-PBEsol) data for a relaxed structure of Li2YHg, as listed in Alexandria via LeMat-Bulk.

CIF file:
```
data_Li2YHg
_chemical_formula_sum 'Li2 Y1 Hg1'
_cell_length_a 4.7372
_cell_length_b 4.7372
_cell_length_c 4.7372
_cell_angle_alpha 120.28
_cell_angle_beta 120.28
_cell_angle_gamma 89.51
_symmetry_space_group_name_H-M 'P 1'
_symmetry_Int_Tables_number 1
loop_
_symmetry_equiv_pos_as_xyz
'x,y,z'
loop_
_atom_site_label
_atom_site_type_symbol
_atom_site_fract_x
_atom_site_fract_y
_atom_site_fract_z
Li1 Li 0.2500 0.7500 0.5000
Li2 Li 0.7500 0.2500 0.5000
Y1 Y 0.0000 0.0000 0.0000
Hg1 Hg 0.5000 0.5000 0.0000
```

## Properties
M_tot = 0.000 μB per atom
space group = I4/mmm, No. 139

---

R | First-principles (GGA-PBEsol) data for a relaxed structure of Li2YHg, as listed in Alexandria via LeMat-Bulk.

CIF file:
```
data_Li2YHg
_chemical_formula_sum 'Li2 Y1 Hg1'
_cell_length_a 3.5486
_cell_length_b 3.5486
_cell_length_c 6.5871
_cell_angle_alpha 90.00
_cell_angle_beta 90.00
_cell_angle_gamma 90.00
_symmetry_space_group_name_H-M 'P 1'
_symmetry_Int_Tables_number 1
loop_
_symmetry_equiv_pos_as_xyz
'x,y,z'
loop_
_atom_site_label
_atom_site_type_symbol
_atom_site_fract_x
_atom_site_fract_y
_atom_site_fract_z
Li1 Li 0.0000 0.0000 0.1956
Li2 Li 0.0000 0.0000 0.8044
Y1 Y 0.5000 0.5000 0.5000
Hg1 Hg 0.5000 0.5000 0.0000
```

## Properties
M_tot = 0.026 μB per atom
space group = P4/mmm, No. 123

---

Order of stability, best first: Q, P, R

---

P | First-principles (GGA-PBEsol) data for a relaxed structure of LiYHg2, as listed in Alexandria via LeMat-Bulk.

CIF file:
```
data_LiYHg2
_chemical_formula_sum 'Li1 Y1 Hg2'
_cell_length_a 4.9419
_cell_length_b 4.9419
_cell_length_c 4.9419
_cell_angle_alpha 120.07
_cell_angle_beta 120.07
_cell_angle_gamma 89.88
_symmetry_space_group_name_H-M 'P 1'
_symmetry_Int_Tables_number 1
loop_
_symmetry_equiv_pos_as_xyz
'x,y,z'
loop_
_atom_site_label
_atom_site_type_symbol
_atom_site_fract_x
_atom_site_fract_y
_atom_site_fract_z
Li1 Li 0.0000 0.0000 0.0000
Y1 Y 0.5000 0.5000 0.0000
Hg1 Hg 0.2500 0.7500 0.5000
Hg2 Hg 0.7500 0.2500 0.5000
```

## Properties
M_tot = 0.000 μB per atom
space group = I4/mmm, No. 139

---

Q | First-principles (GGA-PBEsol) data for a relaxed structure of LiYHg2, as listed in Alexandria via LeMat-Bulk.

CIF file:
```
data_LiYHg2
_chemical_formula_sum 'Li1 Y1 Hg2'
_cell_length_a 3.4461
_cell_length_b 3.4461
_cell_length_c 7.0776
_cell_angle_alpha 90.00
_cell_angle_beta 90.00
_cell_angle_gamma 90.00
_symmetry_space_group_name_H-M 'P 1'
_symmetry_Int_Tables_number 1
loop_
_symmetry_equiv_pos_as_xyz
'x,y,z'
loop_
_atom_site_label
_atom_site_type_symbol
_atom_site_fract_x
_atom_site_fract_y
_atom_site_fract_z
Li1 Li 0.0000 0.0000 0.0000
Y1 Y 0.0000 0.0000 0.5000
Hg1 Hg 0.5000 0.5000 0.2180
Hg2 Hg 0.5000 0.5000 0.7820
```

## Properties
M_tot = 0.027 μB per atom
space group = P4/mmm, No. 123

---

Order of stability, best first: P, Q

---

P | First-principles (GGA-PBEsol) data for a relaxed structure of LiYHg2, as listed in Alexandria via LeMat-Bulk.

CIF file:
```
data_LiYHg2
_chemical_formula_sum 'Li1 Y1 Hg2'
_cell_length_a 4.8553
_cell_length_b 4.8553
_cell_length_c 4.8553
_cell_angle_alpha 60.00
_cell_angle_beta 60.00
_cell_angle_gamma 60.00
_symmetry_space_group_name_H-M 'P 1'
_symmetry_Int_Tables_number 1
loop_
_symmetry_equiv_pos_as_xyz
'x,y,z'
loop_
_atom_site_label
_atom_site_type_symbol
_atom_site_fract_x
_atom_site_fract_y
_atom_site_fract_z
Li1 Li 0.0000 0.0000 0.0000
Y1 Y 0.7500 0.7500 0.7500
Hg1 Hg 0.2500 0.2500 0.2500
Hg2 Hg 0.5000 0.5000 0.5000
```

## Properties
M_tot = 0.000 μB per atom
space group = F-43m, No. 216

---

Q | First-principles (GGA-PBEsol) data for a relaxed structure of LiYHg2, as listed in Alexandria via LeMat-Bulk.

CIF file:
```
data_LiYHg2
_chemical_formula_sum 'Li1 Y1 Hg2'
_cell_length_a 3.4638
_cell_length_b 5.0525
_cell_length_c 5.0757
_cell_angle_alpha 90.00
_cell_angle_beta 90.00
_cell_angle_gamma 90.00
_symmetry_space_group_name_H-M 'P 1'
_symmetry_Int_Tables_number 1
loop_
_symmetry_equiv_pos_as_xyz
'x,y,z'
loop_
_atom_site_label
_atom_site_type_symbol
_atom_site_fract_x
_atom_site_fract_y
_atom_site_fract_z
Li1 Li 0.0000 0.0000 0.0000
Y1 Y 0.0000 0.5000 0.4784
Hg1 Hg 0.5000 0.0000 0.5190
Hg2 Hg 0.5000 0.5000 0.9779
```

## Properties
M_tot = 0.000 μB per atom
space group = Pmm2, No. 25

---

Order of stability, best first: Q, P

---

P | First-principles (GGA-PBEsol) data for a relaxed structure of LiYHg, as listed in Alexandria via LeMat-Bulk.

CIF file:
```
data_LiYHg
_chemical_formula_sum 'Li1 Y1 Hg1'
_cell_length_a 5.3975
_cell_length_b 5.3975
_cell_length_c 5.3975
_cell_angle_alpha 139.46
_cell_angle_beta 139.46
_cell_angle_gamma 58.67
_symmetry_space_group_name_H-M 'P 1'
_symmetry_Int_Tables_number 1
loop_
_symmetry_equiv_pos_as_xyz
'x,y,z'
loop_
_atom_site_label
_atom_site_type_symbol
_atom_site_fract_x
_atom_site_fract_y
_atom_site_fract_z
Li1 Li 0.0000 0.0000 0.0000
Y1 Y 0.3139 0.3139 0.0000
Hg1 Hg 0.6408 0.6408 0.0000
```

## Properties
M_tot = 0.002 μB per atom
space group = I4mm, No. 107

---

Q | First-principles (GGA-PBEsol) data for a relaxed structure of LiYHg, as listed in Alexandria via LeMat-Bulk.

CIF file:
```
data_LiYHg
_chemical_formula_sum 'Li1 Y1 Hg1'
_cell_length_a 4.7089
_cell_length_b 4.7089
_cell_length_c 3.4044
_cell_angle_alpha 90.00
_cell_angle_beta 90.00
_cell_angle_gamma 120.00
_symmetry_space_group_name_H-M 'P 1'
_symmetry_Int_Tables_number 1
loop_
_symmetry_equiv_pos_as_xyz
'x,y,z'
loop_
_atom_site_label
_atom_site_type_symbol
_atom_site_fract_x
_atom_site_fract_y
_atom_site_fract_z
Li1 Li 0.0000 0.0000 0.0000
Y1 Y 0.3333 0.6667 0.5000
Hg1 Hg 0.6667 0.3333 0.0000
```

## Properties
M_tot = 0.000 μB per atom
space group = P-6m2, No. 187

---

Order of stability, best first: Q, P